{
  "formula": "Ce2ErSc",
  "functional": "PBE",
  "state": "relaxed",
  "lattice": [[4.943, 0.000, 0.000], [0.000, 4.773, 0.000], [0.000, 0.000, 4.773]],
  "species": ["Sc", "Ce", "Ce", "Er"],
  "fractional_positions": [[0.500, 0.000, 0.000], [0.000, 0.000, 0.500], [0.000, 0.500, 0.000], [0.500, 0.500, 0.500]],
  "total_energy_ev_per_cell": -22.3,
  "delta_e_f_ev_per_atom": 0.10,
  "total_magnetization_mub_per_fu": 1.45,
  "mass_density_g_cm3": 7.26
}